[1]
Density functional theory data (GGA-PBE) for a relaxed Li2TaCl crystal.

extended XYZ file:
```
4
Lattice="-0.8397 -2.8016 4.7365 3.9188 -3.4104 2.0001 -1.6648 5.1053 -1.4675" Properties=species:S:1:pos:R:3 pbc="T T T"
Li 0.1099 -0.2218 0.2405
Li 1.4296 -2.8842 3.1277
Ta -0.4825 -0.4012 3.3187
Cl 1.8968 -0.7056 1.9504
```

E_form (uncorrected) = 0.1983 eV per atom
Symmetry = Immm, No. 71
Crystal system = orthorhombic


[2]
Density functional theory data (GGA-PBE) for a relaxed Tm4ScTe crystal.

extended XYZ file:
```
12
Lattice="-4.4556 -0.9051 3.1292 -2.5300 -4.0100 -4.7623 7.0289 -7.8447 2.8715" Properties=species:S:1:pos:R:3 pbc="T T T"
Tm -0.7026 -5.6650 -2.6390
Tm 0.3882 -7.6617 3.2043
Tm -1.6587 -6.1484 0.7274
Tm 2.6524 -5.1050 2.3001
Tm -2.4102 -2.8557 0.6098
Tm 1.3398 -7.1889 -0.1717
Tm 2.0776 -10.5000 -0.0789
Tm -0.4434 -4.2187 3.0160
Te -3.5722 -5.0289 -1.6733
Te 3.2455 -8.3174 2.2153
Sc 0.7551 -4.0021 -0.0825
Sc -1.0749 -9.3334 0.6374
```

E_form (uncorrected) = -0.1853 eV per atom
Symmetry = Cmc2_1, No. 36
Crystal system = orthorhombic


[3]
Density functional theory data (GGA-PBE) for a relaxed LaNd8Ru2 crystal.

extended XYZ file:
```
11
Lattice="-2.2534 -2.4860 -6.5536 7.7371 -0.0403 0.1297 2.9118 -5.9336 4.0243" Properties=species:S:1:pos:R:3 pbc="T T T"
Nd 3.1501 -2.5164 0.0951
Nd -0.2686 -2.4633 -4.0602
Nd 6.8605 -3.2868 -0.1540
Nd 1.5350 -5.1731 -2.2456
Nd 4.9703 -5.5954 1.3717
Nd 3.4252 -2.8646 -3.7713
Nd 5.2454 -5.9435 -2.4946
Nd 8.6641 -5.9966 1.6606
Ru 1.2109 -2.2027 -1.8328
Ru 7.1846 -6.2572 -0.5667
La 0.0000 0.0000 0.0000
```

Energy of formation from the pure elements = 0.018 eV/atom
Symmetry = C2/m, No. 12
Crystal system = monoclinic


[4]
Density functional theory data (GGA-PBE) for a relaxed Na4I2Br crystal.

extended XYZ file:
```
7
Lattice="5.6372 0.0000 0.0000 0.0000 5.6372 0.0000 2.8186 2.8186 8.4065" Properties=species:S:1:pos:R:3 pbc="T T T"
Br 0.0000 0.0000 0.0000
Na 2.8186 2.8186 5.2368
Na 0.0000 2.8186 0.0000
Na 5.6372 5.6372 3.1697
Na 2.8186 0.0000 0.0000
I 2.8186 2.8186 2.0793
I 5.6372 5.6372 6.3271
```

E_form (uncorrected) = -0.9846 eV per atom
Symmetry = I4/mmm, No. 139
Crystal system = tetragonal


[5]
Density functional theory data (GGA-PBE) for a relaxed LaHf2Al crystal.

extended XYZ file:
```
8
Lattice="-1.8563 -0.9184 -3.8644 -2.0577 -3.4262 1.8027 -10.0233 3.9459 1.3898" Properties=species:S:1:pos:R:3 pbc="T T T"
La -6.9183 0.4276 -1.7527
La 0.0000 0.0000 0.0000
Hf -3.0176 0.4322 0.0428
Hf -9.9891 -0.3413 1.1487
Hf -4.9295 -1.7177 -0.8941
Hf -9.9384 0.8293 -1.6411
Al -1.9570 -2.1723 -1.0308
Al -7.0190 -0.8263 1.0808
```

Energy of formation from the pure elements = 0.318 eV/atom
Symmetry = I-42d, No. 122
Crystal system = tetragonal


[6]
Density functional theory data (GGA-PBE) for a relaxed La3IO7 crystal.

extended XYZ file:
```
22
Lattice="6.9096 0.1017 0.0000 -2.2977 6.5171 0.0000 0.0000 0.0000 7.9840" Properties=species:S:1:pos:R:3 pbc="T T T"
O 3.5873 2.4166 1.9960
O 4.7996 4.3413 0.1307
O -0.2831 1.9164 7.6642
O 1.0246 4.2022 5.9880
O -0.1877 2.2775 4.1227
O -1.6664 6.0773 5.9881
O 2.7160 6.2206 4.3118
O 2.4104 6.0062 7.8533
O 4.8950 4.7024 3.6722
O 6.2783 0.5415 1.9961
O 1.8959 0.3982 0.3198
O 2.2015 0.6126 3.8613
O 1.1100 4.1427 1.9960
O 3.5019 2.4761 5.9880
La 1.3520 6.5682 2.0536
La 2.4714 3.5469 0.0000
La 3.2599 0.0506 6.0456
La 5.6934 3.5431 5.9304
La 2.1405 3.0719 3.9920
La -1.0815 3.0757 1.9384
I 4.5970 6.5976 3.9919
I 0.0149 0.0212 7.9839
```

E_form (uncorrected) = -2.5100 eV per atom
Symmetry = C222_1, No. 20
Crystal system = orthorhombic


[7]
Density functional theory data (GGA-PBE) for a relaxed LaSb3Mo crystal.

extended XYZ file:
```
5
Lattice="5.9720 0.0000 0.0000 0.0000 5.9720 0.0000 0.0000 0.0000 5.9720" Properties=species:S:1:pos:R:3 pbc="T T T"
Sb 2.9860 0.0000 0.0000
Sb 0.0000 2.9860 0.0000
Sb 0.0000 0.0000 2.9860
La 0.0000 0.0000 0.0000
Mo 2.9860 2.9860 2.9860
```

E_form (uncorrected) = 1.3183 eV per atom
Symmetry = Pm-3m, No. 221
Crystal system = cubic


[8]
Density functional theory data (GGA-PBE) for a relaxed AlAg7Au4 crystal.

extended XYZ file:
```
12
Lattice="-1.7047 4.4389 1.4260 -6.9220 -1.8693 6.1847 2.5623 2.3126 4.5051" Properties=species:S:1:pos:R:3 pbc="T T T"
Ag -2.5261 5.1592 6.8427
Ag -0.8523 2.2195 0.7130
Ag -3.7163 2.5828 4.7992
Ag -6.5078 2.9520 8.9534
Ag -3.5384 -0.2770 5.2731
Ag 0.4434 1.9302 3.1623
Ag -2.3481 2.2995 7.3166
Au -2.2454 0.9831 2.8964
Au -3.8190 3.8992 9.2194
Au -4.9830 1.3235 7.2047
Au -1.0814 3.5587 4.9110
Al 0.0000 0.0000 0.0000
```

Energy of formation from the pure elements = 0.113 eV/atom
Symmetry = C2/m, No. 12
Crystal system = monoclinic


[9]
Density functional theory data (GGA-PBE) for a relaxed TbHoCdGa crystal.

extended XYZ file:
```
4
Lattice="-1.6760 -2.3130 -2.2306 -0.6110 -2.2405 2.7824 -6.4794 3.4150 1.3272" Properties=species:S:1:pos:R:3 pbc="T T T"
Tb -5.4506 2.8728 1.1164
Ga -5.0521 -0.2167 1.0765
Cd -1.8633 -1.8974 0.4233
Ho -2.4129 1.2718 0.4942
```

Energy of formation from the pure elements = -0.459 eV/atom
Symmetry = P4mm, No. 99
Crystal system = tetragonal


| no. | total magnetic moment (μB per formula unit) | DFT total energy (eV/atom) |
| --- | --- | --- |
| 1 | 0.585 | -4.1834 |
| 2 | 0.000 | -4.7451 |
| 3 | 0.000 | -5.5839 |
| 4 | 0.000 | -2.4202 |
| 5 | 0.000 | -6.8264 |
| 6 | 0.000 | -7.1500 |
| 7 | 4.463 | -4.3068 |
| 8 | 0.000 | -2.9542 |
| 9 | 0.000 | -3.7468 |